CoRuNF2: optimized geometry, PBE with a Hubbard U.

## Properties
Energy relative to the lowest polymorph listed for this composition ... 0 meV per atom

CIF file:
```
data_CoRuNF2
_cell_length_a 4.2249
_cell_length_b 4.2249
_cell_length_c 3.7342
_cell_angle_alpha 90.00
_cell_angle_beta 90.00
_cell_angle_gamma 90.00
_symmetry_space_group_name_H-M 'P 4/m m m'
_symmetry_Int_Tables_number 123
_symmetry_space_group_name_Hall '-P 4 2'
loop_
_atom_site_label
_atom_site_type_symbol
_atom_site_fract_x
_atom_site_fract_y
_atom_site_fract_z
Co1 Co 0.0000 0.0000 0.0000
Ru1 Ru 0.5000 0.5000 0.5000
N1 N 0.5000 0.5000 0.0000
F1 F 0.0000 0.5000 0.5000
```